Entry 1:
First-principles (GGA-PBE) data for La4Pt2Cl after structural relaxation, as listed in Alexandria via LeMat-Bulk.

Summary:
Space-group type: No. 166
V, Å³ per cell: 225.13
Total moment, μB per atom: 0.000
Formation energy from raw total energies, kJ per mole of atoms: -110

abc: 4.2548 4.2548 14.5680
angles: 81.60 81.60 60.00
With the nearest neighbours (Å) after each atom.
Atoms (fractional coordinates):
Cl (0.0000, 0.0000, 0.0000)  6 La 3.28
La (0.7173, 0.7173, 0.8482)  3 Pt 2.93, 3 Cl 3.28
La (0.2827, 0.2827, 0.1518)  3 Pt 2.93, 3 Cl 3.28
La (0.1246, 0.1246, 0.6261)  3 Pt 2.92
Pt (0.5789, 0.5789, 0.2634)  6 La 2.92-2.93
Pt (0.4211, 0.4211, 0.7366)  6 La 2.92-2.93
La (0.8754, 0.8754, 0.3739)  3 Pt 2.92

=====

Entry 2:
First-principles (GGA-PBE) data for LaPtCl4 after structural relaxation, as listed in Alexandria via LeMat-Bulk.

Summary:
Space-group type: No. 216
V, Å³ per cell: 135.61
Total moment, μB per atom: 0.355
Formation energy from raw total energies, kJ per mole of atoms: -15

abc: 5.7668 5.7668 5.7668
angles: 60.00 60.00 60.00
With the nearest neighbours (Å) after each atom.
Atoms (fractional coordinates):
Cl (0.3750, 0.8750, 0.3750)  6 Cl 2.88
Cl (0.3750, 0.3750, 0.3750)  6 Cl 2.88
Cl (0.8750, 0.3750, 0.3750)  6 Cl 2.88
Cl (0.3750, 0.3750, 0.8750)  6 Cl 2.88
Pt (0.0000, 0.0000, 0.0000)  12 Cl 3.38, 4 La 3.53
La (0.7500, 0.7500, 0.7500)  12 Cl 3.38, 4 Pt 3.53

=====

Entry 3:
First-principles (GGA-PBE) data for La2PtCl after structural relaxation, as listed in Alexandria via LeMat-Bulk.

Summary:
Space-group type: No. 71
Energy relative to the lowest polymorph listed for this composition, meV per atom: 239.3
V, Å³ per cell: 105.25
Total moment, μB per atom: 0.087
Formation energy from raw total energies, kJ per mole of atoms: -116

abc: 5.3930 5.3931 5.3966
angles: 130.95 110.75 89.41
With the nearest neighbours (Å) after each atom.
Atoms (fractional coordinates):
Pt (0.7500, 0.2500, 0.5000)  4 La 2.94
La (0.9975, 0.9975, 0.0000)  2 Pt 2.94, 2 Cl 2.96
La (0.5025, 0.5025, 0.0000)  2 Pt 2.94, 2 Cl 2.96
Cl (0.2500, 0.7500, 0.5000)  4 La 2.96

=====

Entry 4:
First-principles (GGA-PBE) data for LaPt3Cl after structural relaxation, as listed in Alexandria via LeMat-Bulk.

Summary:
Space-group type: No. 221
Energy relative to the lowest polymorph listed for this composition, meV per atom: 926.3
V, Å³ per cell: 146.03
Total moment, μB per atom: 0.000
Formation energy from raw total energies, kJ per mole of atoms: 93

abc: 5.2660 5.2660 5.2660
angles: 90.00 90.00 90.00
With the nearest neighbours (Å) after each atom.
Atoms (fractional coordinates):
Pt (0.0000, 0.0000, 0.5000)  2 La 2.63
Cl (0.5000, 0.5000, 0.5000)  12 Pt 3.72
Pt (0.5000, 0.0000, 0.0000)  2 La 2.63
Pt (0.0000, 0.5000, 0.0000)  2 La 2.63
La (0.0000, 0.0000, 0.0000)  6 Pt 2.63

=====

> Which formula does entry 1 have?

La4Pt2Cl